Density functional theory data (PBE) for crystalline Hg2Ge2O7 at its relaxed geometry.

Calculated values
Raw formation energy = -9.0 eV/f.u.
VASP energy = -4.864 eV/atom

Unit cell a=10.1206 b=10.1206 c=10.1206 alpha=90.00 beta=90.00 gamma=90.00
With the nearest neighbours (Å) after each atom.
Space group Fd-3m (No. 227, origin choice 2)
Symmetry-distinct sites (fractional):
Hg: 0.0000 0.0000 0.0000 x16  2 O 2.19
Ge: 0.0000 0.0000 0.5000 x16  6 O 1.93
O: 0.0704 0.3750 0.8750 x48  2 Ge 1.93
O: 0.1250 0.1250 0.1250 x8  4 Hg 2.19

***

Density functional theory data (PBE) for crystalline HgGeO2 at its relaxed geometry.

Calculated values
Raw formation energy = -1.0 eV/f.u.
VASP energy = -3.953 eV/atom
Distance to the lowest polymorph of the same formula = 837.5 meV/atom

Unit cell a=3.3436 b=3.3436 c=19.2202 alpha=90.00 beta=90.00 gamma=120.00
With the nearest neighbours (Å) after each atom.
Space group R-3m (No. 166, hexagonal axes)
Symmetry-distinct sites (fractional):
Hg: 0.0000 0.0000 0.0000 x3  6 O 2.36
Ge: 0.0000 0.0000 0.5000 x3  2 O 1.84
O: 0.0000 0.0000 0.4043 x6  1 Ge 1.84

***

Density functional theory data (PBE) for crystalline HgGeO2 at its relaxed geometry.

Calculated values
Raw formation energy = -0.1 eV/f.u.
VASP energy = -3.733 eV/atom
Distance to the lowest polymorph of the same formula = 1057.7 meV/atom

Unit cell a=5.9621 b=5.9621 c=5.9621 alpha=90.00 beta=90.00 gamma=90.00
With the nearest neighbours (Å) after each atom.
Space group Fm-3m (No. 225)
Symmetry-distinct sites (fractional):
Hg: 0.0000 0.0000 0.0000 x4  8 O 2.58
Ge: 0.0000 0.0000 0.5000 x4  8 O 2.58
O: 0.2500 0.2500 0.2500 x8  4 Ge 2.58, 4 Hg 2.58

***

Density functional theory data (PBE) for crystalline HgGeO3 at its relaxed geometry.

Calculated values
Raw formation energy = 1.6 eV/f.u.
VASP energy = -3.642 eV/atom

Unit cell a=4.1191 b=4.1191 c=4.1191 alpha=90.00 beta=90.00 gamma=90.00
With the nearest neighbours (Å) after each atom.
Space group Pm-3m (No. 221)
Symmetry-distinct sites (fractional):
Hg: 0.0000 0.0000 0.0000 x1  6 O 2.06
Ge: 0.5000 0.5000 0.5000 x1  12 O 2.91
O: 0.0000 0.0000 0.5000 x3  2 Hg 2.06

***

> VASP energy of number 3 (HgGeO2)?

-3.733 eV/atom

***

> raw formation energy of number 4 (HgGeO3)?

1.6 eV/f.u.